[1]
Computed, not measured: crystalline Mn9FeO10 at its relaxed geometry at the GGA-PBEsol level of DFT.

Unit cell a=6.812 b=6.812 c=10.158 alpha=101.50 beta=101.50 gamma=26.02
Atoms (fractional coordinates):
Mn 0.000 0.000 0.000
Mn 0.099 0.099 0.304
Mn 0.196 0.196 0.598
Mn 0.300 0.300 0.899
Mn 0.401 0.401 0.201
Mn 0.599 0.599 0.799
Mn 0.700 0.700 0.101
Mn 0.804 0.804 0.402
Mn 0.901 0.901 0.696
Fe 0.500 0.500 0.500
O 0.049 0.049 0.650
O 0.150 0.150 0.951
O 0.250 0.250 0.252
O 0.348 0.348 0.551
O 0.449 0.449 0.849
O 0.551 0.551 0.151
O 0.652 0.652 0.449
O 0.750 0.750 0.748
O 0.850 0.850 0.049
O 0.951 0.951 0.350

## Properties
**Raw formation energy**: -1.094 eV/atom
**SG**: C2/m, No. 12
**Fermi-level density of states**: 0.5636 states/eV/atom
**Calculated volume**: 10.12 Å³ per atom

[2]
Computed, not measured: crystalline Mn4FeO5 at its relaxed geometry at the GGA-PBEsol level of DFT.

Unit cell a=11.214 b=11.214 c=11.214 alpha=164.51 beta=164.51 gamma=21.97
Atoms (fractional coordinates):
Mn 0.096 0.096 0.000
Mn 0.301 0.301 0.000
Mn 0.699 0.699 0.000
Mn 0.904 0.904 0.000
Fe 0.500 0.500 0.000
O 0.000 0.000 0.000
O 0.198 0.198 0.000
O 0.401 0.401 0.000
O 0.599 0.599 0.000
O 0.802 0.802 0.000

## Properties
**Raw formation energy**: -1.065 eV/atom
**SG**: I4/mmm, No. 139
**Fermi-level density of states**: 0.5871 states/eV/atom
**Calculated volume**: 10.05 Å³ per atom

[3]
Computed, not measured: crystalline Mn2FeP3O12 at its relaxed geometry at the GGA-PBEsol level of DFT.

Unit cell a=8.265 b=8.265 c=8.265 alpha=61.87 beta=61.87 gamma=61.87
Atoms (fractional coordinates):
Mn 0.139 0.139 0.139
Mn 0.361 0.361 0.361
Mn 0.639 0.639 0.639
Mn 0.861 0.861 0.861
Fe 0.000 0.000 0.000
Fe 0.500 0.500 0.500
P 0.038 0.750 0.462
P 0.250 0.538 0.962
P 0.462 0.038 0.750
P 0.538 0.962 0.250
P 0.750 0.462 0.038
P 0.962 0.250 0.538
O 0.004 0.817 0.621
O 0.055 0.910 0.258
O 0.090 0.742 0.945
O 0.121 0.317 0.504
O 0.183 0.379 0.996
O 0.242 0.590 0.445
O 0.258 0.055 0.910
O 0.317 0.504 0.121
O 0.379 0.996 0.183
O 0.410 0.555 0.758
O 0.445 0.242 0.590
O 0.496 0.879 0.683
O 0.504 0.121 0.317
O 0.555 0.758 0.410
O 0.590 0.445 0.242
O 0.621 0.004 0.817
O 0.683 0.496 0.879
O 0.742 0.945 0.090
O 0.758 0.410 0.555
O 0.817 0.621 0.004
O 0.879 0.683 0.496
O 0.910 0.258 0.055
O 0.945 0.090 0.742
O 0.996 0.183 0.379

## Properties
**Raw formation energy**: -1.865 eV/atom
**SG**: R-3c, No. 167
**Fermi-level density of states**: 0.3301 states/eV/atom
**Calculated volume**: 11.55 Å³ per atom